Computed, not measured: a relaxed structure of Na3AlCr2Se6 at the PBE-GGA level of DFT.

POSCAR file:
```
Na3AlCr2Se6
1.0
-0.2360 4.7456 4.4860
2.9114 -5.6785 1.4071
5.0980 2.8050 -4.2854
Cr Na Se Al
2 3 6 1
Direct
0.3334 0.6666 0.0000
0.6666 0.3334 0.0000
0.1675 0.8325 0.5000
0.8325 0.1675 0.5000
0.5000 0.5000 0.5000
0.4014 0.0668 0.2003
0.9332 0.5986 0.7997
0.7324 0.7324 0.2007
0.5986 0.9332 0.7997
0.2676 0.2676 0.7993
0.0668 0.4014 0.2003
0.0000 0.0000 0.0000
```

M_tot ... 6.00 μB per formula unit
Theoretical density ... 4.4 g cm⁻³
Formation energy without anion corrections ... -875 meV/atom
Total energy ... -4.863 eV per atom